# 1
Computed, not measured: an optimized crystal structure of AlSiCN at the GGA-PBEsol level of DFT.

Geometry as POSCAR:
```
AlSiCN
1.0
3.0945 0.0000 0.0000
-1.5473 2.6800 0.0000
0.0000 0.0000 5.0287
Al Si C N
1 1 1 1
Direct
0.0000 0.0000 0.0000 Al
0.6667 0.3333 0.5099 Si
0.0000 0.0000 0.3987 C
0.6667 0.3333 0.8702 N
```

The uncorrected formation energy is -856 meV per atom. The space group is P3m1.

=====

# 2
Computed, not measured: an optimized crystal structure of Ti8Al4CN3 at the GGA-PBEsol level of DFT.

Geometry as POSCAR:
```
Ti8Al4CN3
1.0
2.9853 0.0000 0.0000
-1.4926 2.5853 0.0000
0.0000 0.0000 27.1208
Ti Al C N
8 4 1 3
Direct
0.3333 0.6667 0.0423 Ti
0.3333 0.6667 0.2066 Ti
0.3333 0.6667 0.5427 Ti
0.3333 0.6667 0.7089 Ti
0.6667 0.3333 0.2911 Ti
0.6667 0.3333 0.4573 Ti
0.6667 0.3333 0.7934 Ti
0.6667 0.3333 0.9577 Ti
0.3333 0.6667 0.3736 Al
0.3333 0.6667 0.8755 Al
0.6667 0.3333 0.1245 Al
0.6667 0.3333 0.6264 Al
0.0000 0.0000 0.5000 C
0.0000 0.0000 0.0000 N
0.0000 0.0000 0.2491 N
0.0000 0.0000 0.7509 N
```

The uncorrected formation energy is -1150 meV per atom. The space group is P-3m1.

=====

# 3
Computed, not measured: an optimized crystal structure of Na2AlPCO7 at the GGA-PBEsol level of DFT.

Geometry as POSCAR:
```
Na2AlPCO7
1.0
5.1467 0.0000 0.0000
0.0000 6.3359 0.0000
-0.3471 0.0000 8.8674
Na Al P C O
4 2 2 2 14
Direct
0.2329 0.0071 0.2754 Na
0.2329 0.4929 0.2754 Na
0.7671 0.5071 0.7246 Na
0.7671 0.9929 0.7246 Na
0.2154 0.2500 0.8534 Al
0.7846 0.7500 0.1466 Al
0.2756 0.7500 0.9316 P
0.7244 0.2500 0.0684 P
0.2804 0.2500 0.5891 C
0.7196 0.7500 0.4109 C
0.0502 0.2500 0.6463 O
0.1227 0.7500 0.0785 O
0.2053 0.5525 0.8380 O
0.2053 0.9475 0.8380 O
0.3245 0.2500 0.4516 O
0.4264 0.2500 0.0277 O
0.4657 0.2500 0.6969 O
0.5343 0.7500 0.3031 O
0.5736 0.7500 0.9723 O
0.6755 0.7500 0.5484 O
0.7947 0.0525 0.1620 O
0.7947 0.4475 0.1620 O
0.8773 0.2500 0.9215 O
0.9498 0.7500 0.3537 O
```

The uncorrected formation energy is -2224 meV per atom. The space group is P2_1/m.

=====

# 4
Computed, not measured: an optimized crystal structure of NaAl2TcC at the GGA-PBEsol level of DFT.

Geometry as POSCAR:
```
NaAl2TcC
1.0
4.7054 0.0000 0.0000
0.0000 4.7054 0.0000
0.0000 0.0000 4.5700
Na Al Tc C
1 2 1 1
Direct
0.0000 0.0000 0.0000 Na
0.0000 0.5000 0.0000 Al
0.5000 0.0000 0.0000 Al
0.0000 0.0000 0.5000 Tc
0.5000 0.5000 0.5000 C
```

As for the energy of formation from the pure elements: 3.02 eV per atom. The space group is P4/mmm.

=====

# 5
Computed, not measured: an optimized crystal structure of Nb3AlC2 at the GGA-PBEsol level of DFT.

Geometry as POSCAR:
```
Nb3AlC2
1.0
3.1094 0.0000 0.0000
-1.5547 2.6928 0.0000
0.0000 0.0000 19.1116
Nb Al C
6 2 4
Direct
0.0000 0.0000 0.0000 Nb
0.0000 0.0000 0.5000 Nb
0.3333 0.6667 0.1336 Nb
0.3333 0.6667 0.3664 Nb
0.6667 0.3333 0.6336 Nb
0.6667 0.3333 0.8664 Nb
0.0000 0.0000 0.2500 Al
0.0000 0.0000 0.7500 Al
0.3333 0.6667 0.5693 C
0.3333 0.6667 0.9307 C
0.6667 0.3333 0.0693 C
0.6667 0.3333 0.4307 C
```

As for the energy of formation from the pure elements: -0.58 eV per atom. The space group is P6_3/mmc.

=====

# 6
Computed, not measured: an optimized crystal structure of TiNb3Al2C2 at the GGA-PBEsol level of DFT.

Geometry as POSCAR:
```
TiNb3Al2C2
1.0
3.0813 0.0000 0.0000
-1.5406 2.6685 0.0000
0.0000 0.0000 13.8496
Ti Nb Al C
1 3 2 2
Direct
0.0000 0.0000 0.0000 Ti
0.0000 0.0000 0.3236 Nb
0.3333 0.6667 0.5033 Nb
0.3333 0.6667 0.8270 Nb
0.0000 0.0000 0.6651 Al
0.3333 0.6667 0.1613 Al
0.6667 0.3333 0.4133 C
0.6667 0.3333 0.9193 C
```

As for the energy of formation from the pure elements: -0.61 eV per atom. The space group is P3m1.

=====

# 7
Computed, not measured: an optimized crystal structure of Ti3NbAl2C2 at the GGA-PBEsol level of DFT.

Geometry as POSCAR:
```
Ti3NbAl2C2
1.0
3.0476 0.0000 0.0000
-1.5238 2.6393 0.0000
0.0000 0.0000 13.7424
Ti Nb Al C
3 1 2 2
Direct
0.0000 0.0000 0.0000 Ti
0.0000 0.0000 0.3296 Ti
0.6667 0.3333 0.8340 Ti
0.6667 0.3333 0.5050 Nb
0.0000 0.0000 0.6704 Al
0.6667 0.3333 0.1644 Al
0.3333 0.6667 0.4111 C
0.3333 0.6667 0.9172 C
```

As for the energy of formation from the pure elements: -0.71 eV per atom. The space group is P3m1.

=====

# 8
Computed, not measured: an optimized crystal structure of NbAlVC at the GGA-PBEsol level of DFT.

Geometry as POSCAR:
```
NbAlVC
1.0
3.0086 0.0000 0.0000
-1.5043 2.6055 0.0000
0.0000 0.0000 13.4240
Nb Al V C
2 2 2 2
Direct
0.3333 0.6667 0.4048 Nb
0.6667 0.3333 0.5952 Nb
0.3333 0.6667 0.7641 Al
0.6667 0.3333 0.2359 Al
0.3333 0.6667 0.0787 V
0.6667 0.3333 0.9213 V
0.0000 0.0000 0.0000 C
0.0000 0.0000 0.5000 C
```

As for the energy of formation from the pure elements: -0.52 eV per atom. The space group is P-3m1.

=====

| no. | calculated total energy (eV/atom) | magnetization (μB/atom) |
| --- | --- | --- |
| 1 | -7.8582 | 0.00 |
| 2 | -8.5351 | 0.00 |
| 3 | -7.1470 | 0.00 |
| 4 | -3.0752 | 0.39 |
| 5 | -9.8856 | 0.00 |
| 6 | -9.1411 | 0.00 |
| 7 | -8.6132 | 0.00 |
| 8 | -9.0658 | 0.00 |